CuAgRh3: optimized geometry, PBE.

Results
- Formation energy from the elements: 114.3 kJ per mole of atoms
- D(E_F): 8.51 states/eV/f.u.

a b c (Å): 4.5133 4.5133 4.5133
angles (deg): 90.00 90.00 90.00
Space group Pm-3m (No. 221)
Symmetry-distinct sites (fractional):
Cu: 0.0000 0.0000 0.0000
Ag: 0.5000 0.5000 0.5000
Rh: 0.0000 0.0000 0.5000